# Ti2BMo, relaxed, DFT PBE-GGA
# DOS(E_F): 5.78 states/eV/f.u.
# Total magnetic moment: 0.0 μB/f.u.
# Energy: -8.14 eV/atom
# Volume: 227 Å³/cell
# Theoretical density: 5.9 Mg/m³
# Formation energy from the elements: 0.186 eV/atom
data_Ti2BMo
_symmetry_space_group_name_H-M 'I -4 2 d'
_symmetry_Int_Tables_number 122
_symmetry_space_group_name_Hall 'I -4 2bw'
_cell_length_a 7.0433
_cell_length_b 7.0433
_cell_length_c 4.5810
_cell_angle_alpha 90.00
_cell_angle_beta 90.00
_cell_angle_gamma 90.00
loop_
_atom_site_label
_atom_site_fract_x
_atom_site_fract_y
_atom_site_fract_z
Ti1 0.1841 0.2500 0.1250
B1 0.0000 0.0000 0.0000
Mo1 0.0000 0.0000 0.5000


# CaTl2Se, relaxed, DFT PBE-GGA
# DOS(E_F): 1.12 states/eV/f.u.
# Total magnetic moment: 0.0 μB/f.u.
# Energy: -3.17 eV/atom
# Volume: 238 Å³/cell
# Theoretical density: 7.4 Mg/m³
# ΔE_f (raw): -619 meV per atom
data_CaTl2Se
_symmetry_space_group_name_H-M 'C 1 m 1'
_symmetry_Int_Tables_number 8
_symmetry_space_group_name_Hall 'C -2y'
_cell_length_a 10.2780
_cell_length_b 4.1650
_cell_length_c 5.9347
_cell_angle_alpha 90.00
_cell_angle_beta 110.22
_cell_angle_gamma 90.00
loop_
_atom_site_label
_atom_site_fract_x
_atom_site_fract_y
_atom_site_fract_z
Ca1 0.0000 0.0000 0.0000
Tl1 0.0598 0.5000 0.5806
Tl2 0.3000 0.5000 0.3834
Se1 0.2909 0.0000 0.9919


# SiTe, relaxed, DFT PBE-GGA
# DOS(E_F): 0.73 states/eV/f.u.
# Total magnetic moment: 0.0 μB/f.u.
# Energy: -3.79 eV/atom
# Volume: 100 Å³/cell
# Theoretical density: 5.2 Mg/m³
# ΔE_f (raw): 494 meV per atom
data_SiTe
_symmetry_space_group_name_H-M 'P 4/n m m'
_symmetry_Int_Tables_number 129
_cell_length_a 3.0072
_cell_length_b 3.0072
_cell_length_c 11.0574
_cell_angle_alpha 90.00
_cell_angle_beta 90.00
_cell_angle_gamma 90.00
loop_
_symmetry_equiv_pos_as_xyz
'x,y,z'
'-x,-y,-z'
'-y+1/2,x,z'
'y+1/2,-x,-z'
'-x+1/2,-y+1/2,z'
'x+1/2,y+1/2,-z'
'y,-x+1/2,z'
'-y,x+1/2,-z'
'x+1/2,-y,-z'
'-x+1/2,y,z'
'-y,-x,-z'
'y,x,z'
'-x,y+1/2,-z'
'x,-y+1/2,z'
'y+1/2,x+1/2,-z'
'-y+1/2,-x+1/2,z'
loop_
_atom_site_label
_atom_site_fract_x
_atom_site_fract_y
_atom_site_fract_z
Si1 0.2500 0.2500 0.0710
Te1 0.2500 0.2500 0.6774